Entry 1:
First-principles (PBE) data for a relaxed structure of ErSc2Cu, as listed in Alexandria via LeMat-Bulk.

Geometry as POSCAR:
```
ErSc2Cu
1.0
-0.374 -2.914 -1.502
1.697 1.121 -2.598
7.043 -2.679 3.444
Sc Er Cu
2 1 1
Cartesian
1.364 -0.519 0.667
5.679 -2.160 2.777
4.183 -2.236 -0.327
0.661 -0.896 -2.050
```

Its formation energy is -80 meV per atom. As for the relative energy among the computed polymorphs: 14.0 kJ/mol of formula units. The spin magnetization comes out at 0.002 μB/atom.

Entry 2:
First-principles (PBE) data for a relaxed structure of TaFeAu, as listed in Alexandria via LeMat-Bulk.

Geometry as POSCAR:
```
TaFeAu
1.0
4.211 0.000 0.000
2.105 3.647 0.000
2.105 1.216 3.438
Fe Au Ta
1 1 1
Cartesian
6.316 3.647 2.579
4.211 2.431 1.719
0.000 0.000 0.000
```

Its formation energy is 403 meV per atom. As for the relative energy among the computed polymorphs: 123.5 kJ/mol of formula units. The spin magnetization comes out at 0.145 μB/atom.

Entry 3:
First-principles (PBE) data for a relaxed structure of AsOs2Se, as listed in Alexandria via LeMat-Bulk.

Geometry as POSCAR:
```
AsOs2Se
1.0
9.857 -0.004 -0.003
9.415 2.919 -0.003
9.415 1.424 2.548
Se Os As
1 2 1
Cartesian
15.028 2.273 1.332
7.271 1.100 0.645
28.578 4.322 2.533
20.841 3.151 1.847
```

Its energy relative to the elements, uncorrected is 0.32 eV/atom. As for the relative energy among the computed polymorphs: 29.7 kJ/mol of formula units. The spin magnetization comes out at 0.000 μB/atom.

Entry 4:
First-principles (PBE) data for a relaxed structure of LiGePd2, as listed in Alexandria via LeMat-Bulk.

Geometry as POSCAR:
```
LiGePd2
1.0
-0.618 -2.771 1.440
2.005 0.773 2.348
-4.333 2.467 2.888
Li Pd Ge
1 2 1
Cartesian
-1.473 0.235 3.338
-3.256 1.854 2.171
-1.077 0.613 0.718
0.694 -0.999 1.894
```

Its formation energy is -455 meV per atom. The spin magnetization comes out at 0.000 μB/atom.